i:
The following is a DFT calculation (PBE) of an optimized crystal structure of Al2CdP.

Cell and atoms, written as POSCAR:
```
Al2CdP
1.0
6.275 0.000 0.000
0.000 6.275 0.000
3.138 3.138 4.997
Al P Cd
4 2 2
Cartesian
4.432 1.569 1.249 Al
4.707 4.982 3.747 Al
7.844 7.569 3.747 Al
1.844 4.707 1.249 Al
3.138 6.275 2.498 P
3.138 3.138 0.000 P
6.275 3.138 2.498 Cd
0.000 0.000 0.000 Cd
```

Properties
theoretical density: 3.3 Mg/m³
space group: I-42d (122)

***

ii:
The following is a DFT calculation (PBE) of an optimized crystal structure of Al2CdP.

Cell and atoms, written as POSCAR:
```
Al2CdP
1.0
-2.442 -2.859 -1.977
-0.338 -0.555 5.696
-2.944 1.661 1.059
Al P Cd
2 1 1
Cartesian
0.000 0.000 0.000 Al
-2.693 -0.599 -0.459 Al
-1.390 -1.707 1.859 P
-1.641 0.553 3.377 Cd
```

Properties
theoretical density: 4.3 Mg/m³
space group: C2/m (12)

***

It comes down to i, which is 114 meV per atom more stable than the next structure.

***

i:
The following is a DFT calculation (PBE) of an optimized crystal structure of Al2CdP.

Cell and atoms, written as POSCAR:
```
Al2CdP
1.0
3.525 0.000 0.000
0.000 3.538 0.291
0.000 2.353 6.367
Cd Al P
1 2 1
Cartesian
0.000 3.214 3.115 Cd
1.762 1.541 1.659 Al
0.000 2.309 5.916 Al
1.762 4.127 5.664 P
```

Properties
theoretical density: 4.3 Mg/m³
space group: Pm (6)

***

ii:
The following is a DFT calculation (PBE) of an optimized crystal structure of Al2CdP.

Cell and atoms, written as POSCAR:
```
Al2CdP
1.0
5.213 0.025 -0.001
1.422 5.015 0.001
-2.588 -3.481 2.892
P Al Cd
1 2 1
Cartesian
1.076 2.027 1.447 P
3.059 2.324 0.000 Al
0.258 0.196 0.000 Al
2.971 -0.468 1.445 Cd
```

Properties
theoretical density: 4.3 Mg/m³
space group: Immm (71)

***

It comes down to i, which is 112 meV per atom more stable than the next structure.

***

i:
The following is a DFT calculation (PBE) of an optimized crystal structure of Al2CdP.

Cell and atoms, written as POSCAR:
```
Al2CdP
1.0
-2.946 1.706 3.004
-3.441 -1.097 -2.751
-0.239 -3.160 1.560
Cd P Al
1 1 2
Cartesian
-1.592 -0.727 2.282 Cd
-1.840 -2.129 -0.595 P
-3.193 0.304 0.127 Al
0.000 0.000 0.000 Al
```

Properties
theoretical density: 4.5 Mg/m³
space group: P4/mmm (123)

***

ii:
The following is a DFT calculation (PBE) of an optimized crystal structure of Al2CdP.

Cell and atoms, written as POSCAR:
```
Al2CdP
1.0
3.114 0.000 0.000
0.000 3.244 0.000
0.000 0.000 7.159
Al P Cd
2 1 1
Cartesian
0.000 0.000 6.762 Al
0.000 0.000 3.977 Al
1.557 1.622 5.369 P
1.557 1.622 1.790 Cd
```

Properties
theoretical density: 4.5 Mg/m³
space group: Pmmm (47)

***

It comes down to ii, which is 152 meV per atom more stable than the next structure.

***

i:
The following is a DFT calculation (PBE) of an optimized crystal structure of Al2CdP.

Cell and atoms, written as POSCAR:
```
Al2CdP
1.0
3.538 0.000 0.000
0.000 3.538 0.000
0.000 0.000 6.183
P Cd Al
1 1 2
Cartesian
1.769 1.769 5.358 P
0.000 0.000 2.849 Cd
1.769 1.769 1.528 Al
0.000 0.000 5.722 Al
```

Properties
theoretical density: 4.2 Mg/m³
space group: P4mm (99)

***

ii:
The following is a DFT calculation (PBE) of an optimized crystal structure of Al2CdP.

Cell and atoms, written as POSCAR:
```
Al2CdP
1.0
4.973 0.056 0.000
1.221 4.821 0.000
-3.097 -2.438 3.032
Al Cd P
2 1 1
Cartesian
0.000 0.000 0.000 Al
3.097 2.438 0.000 Al
0.611 2.410 1.516 Cd
2.486 0.028 1.516 P
```

Properties
theoretical density: 4.5 Mg/m³
space group: I4/mmm (139)

***

It comes down to i, which is 240 meV per atom more stable than the next structure.